Here is KRbAgHg2 after structural relaxation from the Alexandria database. Energies are from GGA-PBE.

Calculated values
D(E_F) = 0.401 states/eV per atom
ΔH_f (0 K) = -13 meV/atom
energy above the most stable polymorph in this dataset = 0.17 eV/f.u.
ρ = 5.3 g/cm3
symmetry = P4/mmm, No. 123

a = 5.616 Å, b = 5.616 Å, c = 6.239 Å
α = 90.00°, β = 90.00°, γ = 90.00°
Sites, in units of the cell vectors:
K (0.000, 0.000, 0.000)
Rb (0.500, 0.500, 0.000)
Ag (0.500, 0.500, 0.500)
Hg (0.000, 0.500, 0.500)
Hg (0.500, 0.000, 0.500)